No. 1
## Rb3AsI6 (GGA-PBEsol)

Data for a relaxed Rb3AsI6 crystal.

As for the space group: Fm-3m (225). The value obtained for the energy relative to the elements, uncorrected is -0.881 eV/atom. The total energy is -2.759 eV per atom.

abc: 8.7400 8.7400 8.7400
angles: 60.00 60.00 60.00
Closest atoms and distances in Å follow each position.
Positions (direct):
I  0.7714  0.2286  0.2286  1 As 2.83
I  0.7714  0.7714  0.2286  1 As 2.83
I  0.2286  0.7714  0.7714  1 As 2.83
I  0.7714  0.2286  0.7714  1 As 2.83
I  0.2286  0.7714  0.2286  1 As 2.83
I  0.2286  0.2286  0.7714  1 As 2.83
As  0.0000  0.0000  0.0000  6 I 2.83
Rb  0.7500  0.7500  0.7500  12 I 4.38
Rb  0.2500  0.2500  0.2500  12 I 4.38
Rb  0.5000  0.5000  0.5000  6 I 3.35

No. 2
## KReSi2 (GGA-PBEsol)

Data for a relaxed KReSi2 crystal.

As for the space group: Imm2 (44). The value obtained for the energy relative to the elements, uncorrected is 0.254 eV/atom. The total energy is -6.236 eV per atom.

abc: 2.8225 3.9347 8.1123
angles: 104.03 100.02 90.00
Closest atoms and distances in Å follow each position.
Positions (direct):
K  0.5624  0.5624  0.1248  2 K 2.82
Re  0.2785  0.7785  0.5571  6 Si 2.46
Si  0.9083  0.9083  0.8166  2 Re 2.46
Si  0.7508  0.2508  0.5015  4 Re 2.46

No. 3
## TaSn2BrF (GGA-PBEsol)

Data for a relaxed TaSn2BrF crystal.

As for the space group: P4/mmm (123). The value obtained for the energy relative to the elements, uncorrected is -0.026 eV/atom. The total energy is -4.999 eV per atom.

abc: 4.8616 5.3575 5.3575
angles: 90.00 90.00 90.00
Closest atoms and distances in Å follow each position.
Positions (direct):
F  0.5000  0.5000  0.5000  8 Sn 3.62, 4 Br 3.79
Sn  0.0000  0.0000  0.5000  2 Ta 2.68
Sn  0.0000  0.5000  0.0000  2 Ta 2.68
Br  0.5000  0.0000  0.0000  2 Ta 2.43
Ta  0.0000  0.0000  0.0000  2 Br 2.43, 4 Sn 2.68

No. 4
## AlTeI2Cl (GGA-PBEsol)

Data for a relaxed AlTeI2Cl crystal.

As for the space group: P4/mmm (123). The value obtained for the energy relative to the elements, uncorrected is 0.504 eV/atom. The total energy is -2.128 eV per atom.

abc: 5.2556 5.6793 5.6793
angles: 90.00 90.00 90.00
Closest atoms and distances in Å follow each position.
Positions (direct):
I  0.0000  0.0000  0.5000  2 Cl 2.84
I  0.0000  0.5000  0.0000  2 Cl 2.84
Te  0.5000  0.0000  0.0000  2 Cl 2.63
Al  0.5000  0.5000  0.5000  8 I 3.87, 4 Te 4.02
Cl  0.0000  0.0000  0.0000  2 Te 2.63, 4 I 2.84

No. 5
## RbBi (GGA-PBEsol)

Data for a relaxed RbBi crystal.

As for the space group: P2_1/c (14). The formation enthalpy at 0 K is -0.3478 eV/atom. The total energy is -3.003 eV per atom.

abc: 7.4712 13.8724 14.7428
angles: 113.45 90.00 90.00
Closest atoms and distances in Å follow each position.
Positions (direct):
Rb  0.1408  0.4509  0.1498  6 Bi 3.68-4.00, 1 Rb 4.11
Rb  0.6408  0.0491  0.8502  6 Bi 3.68-4.00, 1 Rb 4.11
Rb  0.8592  0.5491  0.8502  6 Bi 3.68-4.00, 1 Rb 4.11
Rb  0.3592  0.9509  0.1498  6 Bi 3.68-4.00, 1 Rb 4.11
Rb  0.4241  0.3114  0.3447  7 Bi 3.72-4.15, 2 Rb 3.97-4.03
Rb  0.9241  0.1886  0.6553  7 Bi 3.72-4.15, 2 Rb 3.97-4.03
Rb  0.5759  0.6886  0.6553  7 Bi 3.72-4.15, 2 Rb 3.97-4.03
Rb  0.0759  0.8114  0.3447  7 Bi 3.72-4.15, 2 Rb 3.97-4.03
Rb  0.1965  0.4664  0.6058  7 Bi 3.72-4.16, 2 Rb 3.97-4.03
Rb  0.6965  0.0336  0.3942  7 Bi 3.72-4.16, 2 Rb 3.97-4.03
Rb  0.8035  0.5336  0.3942  7 Bi 3.72-4.16, 2 Rb 3.97-4.03
Rb  0.3035  0.9664  0.6058  7 Bi 3.72-4.16, 2 Rb 3.97-4.03
Rb  0.3814  0.3551  0.8769  6 Bi 3.69-4.01, 1 Rb 4.11
Rb  0.8814  0.1449  0.1231  6 Bi 3.69-4.01, 1 Rb 4.11
Rb  0.6186  0.6449  0.1231  6 Bi 3.69-4.01, 1 Rb 4.11
Rb  0.1186  0.8551  0.8769  6 Bi 3.69-4.01, 1 Rb 4.11
Bi  0.2009  0.1174  0.4242  2 Bi 3.02-3.05
Bi  0.7009  0.3826  0.5758  2 Bi 3.02-3.05
Bi  0.7991  0.8826  0.5758  2 Bi 3.02-3.05
Bi  0.2991  0.6174  0.4242  2 Bi 3.02-3.05
Bi  0.4339  0.2296  0.6030  2 Bi 3.02-3.05
Bi  0.9339  0.2704  0.3970  2 Bi 3.02-3.05
Bi  0.5661  0.7704  0.3970  2 Bi 3.02-3.05
Bi  0.0661  0.7296  0.6030  2 Bi 3.02-3.05
Bi  0.1262  0.1350  0.8936  2 Bi 3.02-3.03
Bi  0.6262  0.3650  0.1064  2 Bi 3.02-3.03
Bi  0.8738  0.8650  0.1064  2 Bi 3.02-3.03
Bi  0.3738  0.6350  0.8936  2 Bi 3.02-3.03
Bi  0.8658  0.3141  0.9284  2 Bi 3.02-3.03
Bi  0.3658  0.1859  0.0716  2 Bi 3.02-3.03
Bi  0.1342  0.6859  0.0716  2 Bi 3.02-3.03
Bi  0.6342  0.8141  0.9284  2 Bi 3.02-3.03

No. 6
## KLaTe2 (GGA-PBEsol)

Data for a relaxed KLaTe2 crystal.

As for the space group: Amm2 (38). The value obtained for the energy relative to the elements, uncorrected is -1.229 eV/atom. The total energy is -4.612 eV per atom.

abc: 4.2030 5.1979 6.3622
angles: 90.00 109.29 90.00
Closest atoms and distances in Å follow each position.
Positions (direct):
K  0.5090  0.5000  0.0180  7 Te 3.16-3.53
La  0.7347  0.0000  0.4694  7 Te 3.32-3.41
Te  0.0108  0.0000  0.0216  3 La 3.32-3.41, 4 K 3.34
Te  0.2455  0.5000  0.4910  3 K 3.16-3.53, 4 La 3.34

No. 7
## SiTc2Ir (GGA-PBEsol)

Data for a relaxed SiTc2Ir crystal.

As for the space group: P4mm (99). The value obtained for the energy relative to the elements, uncorrected is -0.353 eV/atom. The total energy is -9.878 eV per atom.

abc: 2.8247 2.8247 6.6927
angles: 90.00 90.00 90.00
Closest atoms and distances in Å follow each position.
Positions (direct):
Si  0.5000  0.5000  0.7527  4 Ir 2.49, 4 Tc 2.50
Ir  0.0000  0.0000  0.5314  4 Si 2.49
Tc  0.0000  0.0000  0.9784  4 Si 2.50, 4 Tc 2.64
Tc  0.5000  0.5000  0.2374  8 Tc 2.64-2.82, 4 Ir 2.80

No. 8
## InSiNi (GGA-PBEsol)

Data for a relaxed InSiNi crystal.

As for the space group: P-6m2 (187). The value obtained for the energy relative to the elements, uncorrected is -0.053 eV/atom. The total energy is -5.015 eV per atom.

abc: 3.7241 3.8789 3.8789
angles: 120.00 90.00 90.00
Closest atoms and distances in Å follow each position.
Positions (direct):
In  0.5000  0.0000  0.0000  6 Si 2.91, 6 Ni 2.91
Ni  0.0000  0.6667  0.3333  3 Si 2.24
Si  0.0000  0.3333  0.6667  3 Ni 2.24